A relaxed Pm8In2Pd crystal, computed with GGA-PBE.

abc: 9.953 9.953 6.921
angles: 102.60 102.60 30.33
Positions (direct):
Pm1 0.017 0.017 0.274
Pm2 0.209 0.209 0.805
Pm3 0.351 0.351 0.519
Pm4 0.408 0.408 0.037
Pm5 0.592 0.592 0.963
Pm6 0.649 0.649 0.481
Pm7 0.791 0.791 0.195
Pm8 0.983 0.983 0.726
In1 0.185 0.185 0.251
In2 0.815 0.815 0.749
Pd1 0.500 0.500 0.500

Computed properties:
As for the volume: 337.24 Å³ per cell. As for the raw total energy: -4.72 eV/atom. For the formation enthalpy at 0 K, the calculation gives -3.281 eV/f.u. The mass density comes out at 7366 kg/m3.